First-principles (PBE) data for an optimized crystal structure of LaTiV, as listed in Alexandria via LeMat-Bulk.

abc: 4.2314 5.4389 6.1281
angles: 83.77 78.84 80.96
Positions (direct):
La  0.1969  0.2348  0.3980
La  0.8031  0.7652  0.6020
Ti  0.3089  0.3873  0.8722
Ti  0.6911  0.6127  0.1278
V  0.2211  0.8805  0.0176
V  0.7789  0.1195  0.9824

Summary:
For the energy above the lowest structure with this stoichiometry, the calculation gives 0.1560 eV per atom. For the formation energy, the calculation gives 334 meV per atom. The raw total energy is -6.979 eV/atom.